VASP calculation (PBEsol) on KNaP2H2O7 after structural relaxation.

Cell lengths 7.9090, 7.9370, 11.2122 Å; angles 106.44, 95.69, 90.20 degrees
Closest atoms and distances in Å follow each position.
Space group P-1 (No. 2)
Unique sites:
K (0.1674, 0.2382, 0.4354) [2 per cell]  6 O 2.70-2.91
K (0.2768, 0.3491, 0.0653) [2 per cell]  6 O 2.70-2.96
Na (0.1703, 0.8527, 0.9230) [2 per cell]  6 O 2.39-2.54
Na (0.3746, 0.7874, 0.4259) [2 per cell]  6 O 2.38-2.52
P (0.0074, 0.5275, 0.2921) [2 per cell]  4 O 1.49-1.63
P (0.0490, 0.8412, 0.2076) [2 per cell]  4 O 1.49-1.63
P (0.2862, 0.0708, 0.7101) [2 per cell]  4 O 1.49-1.63
P (0.3555, 0.4498, 0.7870) [2 per cell]  4 O 1.49-1.64
H (0.3067, 0.9940, 0.1619) [2 per cell]  1 O 1.00
H (0.4501, 0.7874, 0.6664) [2 per cell]  1 O 1.00
H (0.4792, 0.0367, 0.1213) [2 per cell]  1 O 0.99
H (0.4914, 0.4050, 0.3694) [2 per cell]  1 O 1.00
O (0.0139, 0.1283, 0.9145) [2 per cell]  1 P 1.49
O (0.0298, 0.6310, 0.1874) [2 per cell]  2 P 1.62-1.63
O (0.0332, 0.3383, 0.2282) [2 per cell]  1 P 1.49
O (0.0805, 0.0794, 0.6875) [2 per cell]  2 P 1.63
O (0.1061, 0.6196, 0.4138) [2 per cell]  1 P 1.49
O (0.1926, 0.4427, 0.6853) [2 per cell]  2 P 1.62-1.63
O (0.2221, 0.9088, 0.2703) [2 per cell]  1 P 1.50
O (0.3301, 0.9323, 0.7746) [2 per cell]  1 P 1.50
O (0.3367, 0.2578, 0.8123) [2 per cell]  2 P 1.62-1.64
O (0.3376, 0.5831, 0.9085) [2 per cell]  1 P 1.49
O (0.3512, 0.0608, 0.5878) [2 per cell]  1 P 1.49
O (0.3556, 0.0309, 0.0941) [2 per cell]  2 H 0.99-1.00
O (0.4895, 0.5490, 0.2798) [2 per cell]  1 P 1.50
O (0.4922, 0.2977, 0.3990) [2 per cell]  2 H 1.00

Calculated values
The calculation puts the total energy at -83.23 eV per formula unit. The crystal system is triclinic.